Record 1
ZrSc2Os: relaxed, GGA-PBE.

POSCAR file:
```
ZrSc2Os
1.0
6.911 0.000 0.000
0.000 8.431 0.000
0.000 0.000 5.920
Zr Sc Os
4 8 4
Cartesian
0.214 2.108 0.647 Zr
3.242 6.323 3.607 Zr
3.669 2.108 2.313 Zr
6.697 6.323 5.273 Zr
1.241 0.497 3.940 Sc
1.241 3.718 3.940 Sc
2.215 4.713 0.980 Sc
2.215 7.934 0.980 Sc
4.696 0.497 4.940 Sc
4.696 3.718 4.940 Sc
5.670 4.713 1.980 Sc
5.670 7.934 1.980 Sc
0.807 6.323 2.756 Os
2.648 2.108 5.716 Os
4.263 6.323 0.204 Os
6.103 2.108 3.164 Os
```

Results
- calculated formation energy (eV/atom) = -0.278
- VASP energy (eV/atom) = -8.388
- volume (Å³/cell) = 345
- excess energy over the best structure of this formula in the dataset (eV/atom) = 0.025

***

Record 2
ZrSc2Os2: relaxed, GGA-PBE.

POSCAR file:
```
ZrSc2Os2
1.0
3.218 0.000 0.000
0.000 19.513 0.000
0.000 0.000 3.191
Zr Sc Os
2 4 4
Cartesian
0.000 0.000 0.000 Zr
1.609 9.757 0.000 Zr
0.000 3.271 0.000 Sc
0.000 16.242 0.000 Sc
1.609 6.486 0.000 Sc
1.609 13.027 0.000 Sc
0.000 8.050 1.596 Os
0.000 11.463 1.596 Os
1.609 1.706 1.596 Os
1.609 17.807 1.596 Os
```

Results
- calculated formation energy (eV/atom) = -0.385
- VASP energy (eV/atom) = -9.119
- volume (Å³/cell) = 200
- excess energy over the best structure of this formula in the dataset (eV/atom) = 0.000

***

Record 3
ZrSc2Os: relaxed, GGA-PBE.

POSCAR file:
```
ZrSc2Os
1.0
6.071 0.000 0.000
0.000 7.249 0.000
0.000 0.000 3.539
Zr Sc Os
2 4 2
Cartesian
0.000 0.000 0.000 Zr
3.036 3.625 0.000 Zr
1.518 1.812 1.770 Sc
1.518 5.437 1.770 Sc
4.553 1.812 1.770 Sc
4.553 5.437 1.770 Sc
0.000 3.625 0.000 Os
3.036 0.000 0.000 Os
```

Results
- calculated formation energy (eV/atom) = 0.008
- VASP energy (eV/atom) = -8.102
- volume (Å³/cell) = 156
- excess energy over the best structure of this formula in the dataset (eV/atom) = 0.311

***

Record 4
ZrSc2Os: relaxed, GGA-PBE.

POSCAR file:
```
ZrSc2Os
1.0
4.697 0.000 0.000
0.000 4.697 0.000
0.000 0.000 3.495
Zr Sc Os
1 2 1
Cartesian
0.000 0.000 0.000 Zr
0.000 2.349 1.748 Sc
2.349 0.000 1.748 Sc
2.349 2.349 0.000 Os
```

Results
- calculated formation energy (eV/atom) = 0.005
- VASP energy (eV/atom) = -8.105
- volume (Å³/cell) = 77
- excess energy over the best structure of this formula in the dataset (eV/atom) = 0.308

***

Record 5
ZrSc2Os: relaxed, GGA-PBE.

POSCAR file:
```
ZrSc2Os
1.0
3.365 0.000 0.000
0.000 4.877 0.000
0.000 0.000 9.948
Zr Sc Os
2 4 2
Cartesian
0.000 0.000 0.000 Zr
1.683 2.438 4.974 Zr
0.000 0.000 4.178 Sc
0.000 2.438 2.097 Sc
1.683 0.000 7.072 Sc
1.683 2.438 9.152 Sc
0.000 2.438 7.033 Os
1.683 0.000 2.059 Os
```

Results
- calculated formation energy (eV/atom) = -0.291
- VASP energy (eV/atom) = -8.401
- volume (Å³/cell) = 163
- excess energy over the best structure of this formula in the dataset (eV/atom) = 0.012

***

Record 6
ZrSc2Os: relaxed, GGA-PBE.

POSCAR file:
```
ZrSc2Os
1.0
4.786 0.000 0.000
0.000 4.786 0.000
0.000 0.000 6.746
Zr Sc Os
2 4 2
Cartesian
0.000 0.000 0.000 Zr
2.393 2.393 3.373 Zr
0.000 0.000 3.373 Sc
0.000 2.393 5.059 Sc
2.393 0.000 1.686 Sc
2.393 2.393 0.000 Sc
0.000 2.393 1.686 Os
2.393 0.000 5.059 Os
```

Results
- calculated formation energy (eV/atom) = -0.186
- VASP energy (eV/atom) = -8.296
- volume (Å³/cell) = 154
- excess energy over the best structure of this formula in the dataset (eV/atom) = 0.117

***

Record 7
Zr5ScOs6: relaxed, GGA-PBE.

POSCAR file:
```
Zr5ScOs6
1.0
2.317 -6.957 0.000
2.317 6.957 0.000
0.000 0.000 6.544
Zr Sc Os
5 1 6
Cartesian
0.000 0.000 0.000 Zr
2.317 2.314 0.000 Zr
2.317 2.294 3.272 Zr
2.317 -2.294 3.272 Zr
2.317 -2.314 0.000 Zr
0.000 0.000 3.272 Sc
2.317 4.630 1.637 Os
2.317 4.630 4.907 Os
2.317 0.000 1.630 Os
2.317 0.000 4.914 Os
2.317 -4.630 1.637 Os
2.317 -4.630 4.907 Os
```

Results
- calculated formation energy (eV/atom) = -0.532
- VASP energy (eV/atom) = -10.237
- volume (Å³/cell) = 211

***

Record 8
Zr5ScOs4: relaxed, GGA-PBE.

POSCAR file:
```
Zr5ScOs4
1.0
3.285 0.000 0.000
0.000 3.285 0.000
0.000 0.000 17.404
Zr Sc Os
5 1 4
Cartesian
0.000 0.000 0.000 Zr
0.000 0.000 3.299 Zr
0.000 0.000 6.580 Zr
0.000 0.000 10.825 Zr
0.000 0.000 14.106 Zr
1.642 1.642 8.702 Sc
1.642 1.642 1.650 Os
1.642 1.642 4.956 Os
1.642 1.642 12.448 Os
1.642 1.642 15.755 Os
```

Results
- calculated formation energy (eV/atom) = -0.388
- VASP energy (eV/atom) = -9.787
- volume (Å³/cell) = 188

***

Question: Number 2 is which compound?
Answer: ZrSc2Os2

***

Question: Which of these has the highest calculated formation energy?
Answer: number 3

***

Question: Which value of VASP energy does entry 7 give?
Answer: -10.237 eV/atom